# 1
A relaxed structure of BaLiCaSb. Source: Alexandria, functional PBE.

Cell: 5.694 5.694 5.694 Å, 60.00 60.00 60.00°
Fractional coordinates of all 4 atoms:
1 Ba 0.000 0.000 0.000
2 Li 0.750 0.750 0.750
3 Ca 0.500 0.500 0.500
4 Sb 0.250 0.250 0.250

The energy relative to the elements, uncorrected is -0.51 eV per atom. The crystal system is cubic.


# 2
A relaxed structure of BaLi2Ca2Sb2. Source: Alexandria, functional PBE.

Cell: 10.163 10.163 10.163 Å, 28.06 28.06 28.06°
Fractional coordinates of all 7 atoms:
1 Ba 0.000 0.000 0.000
2 Li 0.429 0.429 0.429
3 Li 0.571 0.571 0.571
4 Ca 0.136 0.136 0.136
5 Ca 0.864 0.864 0.864
6 Sb 0.253 0.253 0.253
7 Sb 0.747 0.747 0.747

The energy relative to the elements, uncorrected is -0.75 eV per atom. The crystal system is trigonal.


# 3
A relaxed structure of Ba2LiCaSe. Source: Alexandria, functional PBE.

Cell: 6.477 6.477 5.619 Å, 90.00 90.00 90.00°
Fractional coordinates of all 5 atoms:
1 Ba 0.000 0.500 0.000
2 Ba 0.500 0.000 0.000
3 Li 0.000 0.000 0.500
4 Ca 0.500 0.500 0.500
5 Se 0.500 0.500 0.000

The energy relative to the lowest polymorph listed for this composition comes out at 0 meV/atom. The energy relative to the elements, uncorrected is -0.63 eV per atom. The crystal system is tetragonal.


# 4
A relaxed structure of Ba2LiCaSe. Source: Alexandria, functional PBE.

Cell: 6.585 6.585 5.013 Å, 90.00 90.00 90.00°
Fractional coordinates of all 5 atoms:
1 Ba 0.000 0.500 0.000
2 Ba 0.500 0.000 0.000
3 Li 0.000 0.000 0.500
4 Ca 0.500 0.500 0.500
5 Se 0.000 0.000 0.000

The energy relative to the lowest polymorph listed for this composition comes out at 9 meV/atom. The energy relative to the elements, uncorrected is -0.62 eV per atom. The crystal system is tetragonal.


# 5
A relaxed structure of Ba2LiCaSi. Source: Alexandria, functional PBE.

Cell: 6.558 6.558 5.064 Å, 90.00 90.00 90.00°
Fractional coordinates of all 5 atoms:
1 Ba 0.000 0.500 0.000
2 Ba 0.500 0.000 0.000
3 Li 0.000 0.000 0.500
4 Ca 0.500 0.500 0.500
5 Si 0.000 0.000 0.000

The energy relative to the elements, uncorrected is 0.05 eV per atom. The crystal system is tetragonal.


# 6
A relaxed structure of BaLi2Ca2Si2. Source: Alexandria, functional PBE.

Cell: 9.813 9.813 9.813 Å, 28.38 28.38 28.38°
Fractional coordinates of all 7 atoms:
1 Ba 0.000 0.000 0.000
2 Li 0.415 0.415 0.415
3 Li 0.585 0.585 0.585
4 Ca 0.131 0.131 0.131
5 Ca 0.869 0.869 0.869
6 Si 0.246 0.246 0.246
7 Si 0.754 0.754 0.754

The energy relative to the elements, uncorrected is -0.35 eV per atom. The crystal system is trigonal.


# 7
A relaxed structure of Ba2LiCaSn. Source: Alexandria, functional PBE.

Cell: 6.316 6.316 5.080 Å, 90.00 90.00 90.00°
Fractional coordinates of all 5 atoms:
1 Ba 0.000 0.500 0.000
2 Ba 0.500 0.000 0.000
3 Li 0.000 0.000 0.000
4 Ca 0.500 0.500 0.500
5 Sn 0.000 0.000 0.500

Its formation enthalpy at 0 K is -115 meV/atom. The crystal system is tetragonal.


# 8
A relaxed structure of BaLiCaSn2. Source: Alexandria, functional PBE.

Cell: 5.339 5.339 5.293 Å, 90.00 90.00 90.00°
Fractional coordinates of all 5 atoms:
1 Ba 0.000 0.000 0.000
2 Li 0.500 0.500 0.500
3 Ca 0.500 0.500 0.000
4 Sn 0.000 0.500 0.500
5 Sn 0.500 0.000 0.500

Its formation enthalpy at 0 K is -315 meV/atom. The crystal system is tetragonal.


# 9
A relaxed structure of BaSr2LiCa. Source: Alexandria, functional PBE.

Cell: 6.363 6.363 6.227 Å, 90.00 90.00 90.00°
Fractional coordinates of all 5 atoms:
1 Ba 0.000 0.000 0.000
2 Sr 0.000 0.500 0.500
3 Sr 0.500 0.000 0.500
4 Li 0.500 0.500 0.500
5 Ca 0.500 0.500 0.000

The energy relative to the lowest polymorph listed for this composition comes out at 0 meV/atom. Its formation enthalpy at 0 K is 128 meV/atom. The crystal system is tetragonal.


# 10
A relaxed structure of BaSrLiCa2. Source: Alexandria, functional PBE.

Cell: 6.154 6.154 6.220 Å, 90.00 90.00 90.00°
Fractional coordinates of all 5 atoms:
1 Ba 0.000 0.000 0.000
2 Sr 0.500 0.500 0.000
3 Li 0.500 0.500 0.500
4 Ca 0.000 0.500 0.500
5 Ca 0.500 0.000 0.500

The energy relative to the lowest polymorph listed for this composition comes out at 0 meV/atom. Its formation enthalpy at 0 K is 127 meV/atom. The crystal system is tetragonal.


# 11
A relaxed structure of BaSrLiCa2. Source: Alexandria, functional PBE.

Cell: 6.707 6.707 5.666 Å, 90.00 90.00 90.00°
Fractional coordinates of all 5 atoms:
1 Ba 0.000 0.000 0.000
2 Sr 0.500 0.500 0.500
3 Li 0.500 0.500 0.000
4 Ca 0.000 0.500 0.500
5 Ca 0.500 0.000 0.500

The energy relative to the lowest polymorph listed for this composition comes out at 412 meV/atom. Its formation enthalpy at 0 K is 539 meV/atom. The crystal system is tetragonal.


# 12
A relaxed structure of BaSrLiCa2. Source: Alexandria, functional PBE.

Cell: 6.175 6.175 6.293 Å, 90.00 90.00 90.00°
Fractional coordinates of all 5 atoms:
1 Ba 0.000 0.000 0.000
2 Sr 0.500 0.500 0.000
3 Li 0.000 0.000 0.500
4 Ca 0.000 0.500 0.500
5 Ca 0.500 0.000 0.500

The energy relative to the lowest polymorph listed for this composition comes out at 33 meV/atom. Its formation enthalpy at 0 K is 160 meV/atom. The crystal system is tetragonal.


Which formula does entry 6 have?
BaLi2Ca2Si2